{
  "formula": "LiCuBr3",
  "functional": "PBE-GGA",
  "state": "relaxed",
  "magnetic_moment_mub_per_cell": 0.000,
  "formation_energy_uncorrected_mev_per_atom": -545.7,
  "sg": "Pm-3m, No. 221",
  "e_above_lowest_polymorph_ev_per_atom": 0.188,
  "energy_ev_per_atom": -2.7514,
  "lattice_angstrom": [[5.0802, 0.0000, 0.0000], [0.0000, 5.0802, 0.0000], [0.0000, 0.0000, 5.0802]],
  "species": ["Li", "Cu", "Br", "Br", "Br"],
  "frac_coords": [[0.0000, 0.0000, 0.0000], [0.5000, 0.5000, 0.5000], [0.0000, 0.5000, 0.5000], [0.5000, 0.0000, 0.5000], [0.5000, 0.5000, 0.0000]]
}